Material: Li2BeIr
Method: DFT, PBE
State: relaxed

Values from the calculation:
Its symmetry is R-3m (166).

a = 9.0092 Å, b = 9.0092 Å, c = 9.0092 Å
α = 16.72°, β = 16.72°, γ = 16.72°
Closest atoms and distances in Å follow each position.
Element x y z (fractional)
Be 0.2500 0.2500 0.2500  6 Be 2.62, 6 Li 2.70
Li 0.0006 0.0006 0.0006  6 Li 2.62, 3 Ir 2.67, 3 Be 2.70
Li 0.4994 0.4994 0.4994  6 Li 2.62, 3 Ir 2.67, 3 Be 2.70
Ir 0.7500 0.7500 0.7500  6 Ir 2.62, 6 Li 2.67

Material: Tb2PrAl3
Method: DFT, PBE
State: relaxed

Values from the calculation:
Its symmetry is P4/mmm (123). As for the energy relative to the lowest polymorph listed for this composition: 0.0 meV/atom.

a = 3.6514 Å, b = 3.6514 Å, c = 11.0579 Å
α = 90.00°, β = 90.00°, γ = 90.00°
Closest atoms and distances in Å follow each position.
Element x y z (fractional)
Tb 0.5000 0.5000 0.8383  8 Al 3.12-3.14
Tb 0.5000 0.5000 0.1617  8 Al 3.12-3.14
Pr 0.5000 0.5000 0.5000  8 Al 3.25
Al 0.0000 0.0000 0.3209  4 Tb 3.12, 4 Pr 3.25
Al 0.0000 0.0000 0.6791  4 Tb 3.12, 4 Pr 3.25
Al 0.0000 0.0000 0.0000  8 Tb 3.14

| no. | formation energy (eV/atom) | DOS(E_F) (states/eV/cell) |
| --- | --- | --- |
| 1 | 0.040 | 1.619 |
| 2 | -0.378 | 2.454 |